First-principles (GGA-PBE) data for an optimized crystal structure of AsHS2Cl, as listed in Alexandria via LeMat-Bulk.

Computed properties:
N(E_F)	2.7	states/eV/cell
distance to the lowest polymorph of the same formula	0.0	kJ per mole of atoms
total magnetization	0.000	μB per formula unit
space-group type	No. 11

Geometry as POSCAR:
```
AsHS2Cl
1.0
6.4093 0.0000 0.0000
0.0000 4.1248 0.0000
-0.7593 0.0000 9.8396
As H S Cl
2 2 4 2
direct
0.2178 0.2500 0.4895 As
0.7822 0.7500 0.5105 As
0.0569 0.2500 0.1394 H
0.9431 0.7500 0.8606 H
0.0681 0.2500 0.0025 S
0.1045 0.7500 0.6290 S
0.8955 0.2500 0.3710 S
0.9319 0.7500 0.9975 S
0.3469 0.7500 0.3342 Cl
0.6531 0.2500 0.6658 Cl
```

First-principles (GGA-PBE) data for an optimized crystal structure of Ca2BRh, as listed in Alexandria via LeMat-Bulk.

Computed properties:
formation energy from the elements	-283	meV/atom
N(E_F)	2.2	states/eV/cell
total magnetization	0.000	μB per formula unit
space-group type	No. 38

Geometry as POSCAR:
```
Ca2BRh
1.0
3.7456 0.0000 0.0000
0.0000 2.1851 5.1603
0.0000 -2.1851 5.1603
Ca B Rh
2 1 1
direct
0.0000 0.0000 0.0000 Ca
0.5000 0.2880 0.2880 Ca
0.0000 0.6880 0.6880 B
0.5000 0.6034 0.6034 Rh
```

First-principles (GGA-PBE) data for an optimized crystal structure of Mg2PaSn2, as listed in Alexandria via LeMat-Bulk.

Computed properties:
formation energy from the elements	248	meV/atom
N(E_F)	10.3	states/eV/cell
total magnetization	0.683	μB per formula unit
space-group type	No. 194

Geometry as POSCAR:
```
Mg2PaSn2
1.0
5.0066 0.0000 0.0000
-2.5033 4.3358 0.0000
0.0000 0.0000 12.9467
Mg Pa Sn
4 2 4
direct
0.0000 0.0000 0.0000 Mg
0.0000 0.0000 0.5000 Mg
0.3333 0.6667 0.2500 Mg
0.6667 0.3333 0.7500 Mg
0.0000 0.0000 0.2500 Pa
0.0000 0.0000 0.7500 Pa
0.3333 0.6667 0.6276 Sn
0.3333 0.6667 0.8724 Sn
0.6667 0.3333 0.1276 Sn
0.6667 0.3333 0.3724 Sn
```

First-principles (GGA-PBE) data for an optimized crystal structure of Li2MoRu, as listed in Alexandria via LeMat-Bulk.

Computed properties:
formation energy from the elements	816	meV/atom
N(E_F)	9.0	states/eV/cell
distance to the lowest polymorph of the same formula	59.2	kJ per mole of atoms
total magnetization	0.634	μB per formula unit
space-group type	No. 122

Geometry as POSCAR:
```
Li2MoRu
1.0
-3.4390 3.4390 2.4175
3.4390 -3.4390 2.4175
3.4390 3.4390 -2.4175
Li Mo Ru
4 2 2
direct
0.1124 0.6250 0.9874 Li
0.3750 0.3624 0.4874 Li
0.6376 0.1250 0.0126 Li
0.8750 0.8876 0.5126 Li
0.2500 0.7500 0.5000 Mo
0.5000 0.5000 0.0000 Mo
0.0000 0.0000 0.0000 Ru
0.7500 0.2500 0.5000 Ru
```

First-principles (GGA-PBE) data for an optimized crystal structure of TiBIN2, as listed in Alexandria via LeMat-Bulk.

Computed properties:
N(E_F)	3.1	states/eV/cell
distance to the lowest polymorph of the same formula	47.5	kJ per mole of atoms
total magnetization	0.001	μB per formula unit
space-group type	No. 123
uncorrected formation energy	7.81	eV per formula unit

Geometry as POSCAR:
```
TiBIN2
1.0
3.7209 0.0000 0.0000
0.0000 3.7209 0.0000
0.0000 0.0000 4.6077
Ti B I N
1 1 1 2
direct
0.0000 0.0000 0.0000 Ti
0.5000 0.5000 0.5000 B
0.5000 0.5000 0.0000 I
0.0000 0.5000 0.5000 N
0.5000 0.0000 0.5000 N
```

First-principles (GGA-PBE) data for an optimized crystal structure of Al2MoRu, as listed in Alexandria via LeMat-Bulk.

Computed properties:
formation energy from the elements	-217	meV/atom
N(E_F)	3.7	states/eV/cell
distance to the lowest polymorph of the same formula	15.9	kJ per mole of atoms
total magnetization	0.001	μB per formula unit
space-group type	No. 119

Geometry as POSCAR:
```
Al2MoRu
1.0
-1.9125 1.9125 4.0243
1.9125 -1.9125 4.0243
1.9125 1.9125 -4.0243
Al Mo Ru
2 1 1
direct
0.0000 0.0000 0.0000 Al
0.7500 0.2500 0.5000 Al
0.2500 0.7500 0.5000 Mo
0.5000 0.5000 0.0000 Ru
```

First-principles (GGA-PBE) data for an optimized crystal structure of Mn4Pd3Rh, as listed in Alexandria via LeMat-Bulk.

Computed properties:
formation energy from the elements	-201	meV/atom
N(E_F)	4.5	states/eV/cell
total magnetization	0.048	μB per formula unit
space-group type	No. 123

Geometry as POSCAR:
```
Mn4Pd3Rh
1.0
3.1781 0.0000 0.0000
0.0000 3.1781 0.0000
0.0000 0.0000 11.7658
Mn Pd Rh
4 3 1
direct
0.0000 0.0000 0.1237 Mn
0.0000 0.0000 0.3716 Mn
0.0000 0.0000 0.6284 Mn
0.0000 0.0000 0.8763 Mn
0.5000 0.5000 0.2490 Pd
0.5000 0.5000 0.5000 Pd
0.5000 0.5000 0.7510 Pd
0.5000 0.5000 0.0000 Rh
```